Record 1
Material: Pr6ThSc
Method: DFT, PBE
State: relaxed

## Properties
electronic total energy: -5.11 eV per atom
DFT formation energy: 147.4 kJ/mol of formula units
space-group type: P-1 (2)
size of the total moment: 0.0 μB per cell
V: 33.8 A^3/atom

Geometry as extended XYZ:
```
8
Lattice="6.585 0.000 0.000 -0.330 6.876 0.000 -0.186 -3.433 5.965" Properties=species:S:1:pos:R:3 pbc="T T T"
Pr 1.371 1.344 2.585
Pr 1.124 3.260 5.459
Pr 1.276 4.958 2.667
Pr 4.793 -1.515 3.298
Pr 4.945 0.183 0.507
Pr 4.698 2.098 3.381
Th 3.127 3.438 0.000
Sc -0.165 3.438 0.000
```


Record 2
Material: GeSe2SBr
Method: DFT, PBE
State: relaxed

## Properties
electronic total energy: -2.78 eV per atom
uncorrected formation energy: 700.4 meV/atom
space-group type: P4/mmm (123)
size of the total moment: 2.2 μB per cell
V: 26.7 A^3/atom
energy above the lowest structure with this stoichiometry: 0.230 eV per atom

Geometry as extended XYZ:
```
5
Lattice="5.047 0.000 0.000 0.000 5.047 0.000 0.000 0.000 5.241" Properties=species:S:1:pos:R:3 pbc="T T T"
Ge 0.000 0.000 0.000
Se 0.000 2.524 0.000
Se 2.524 0.000 0.000
S 2.524 2.524 2.620
Br 0.000 0.000 2.620
```


Record 3
Material: Ca2Si3Ag
Method: DFT, PBE
State: relaxed

## Properties
electronic total energy: -4.31 eV per atom
uncorrected formation energy: -457.8 meV/atom
space-group type: Fmmm (69)
size of the total moment: 0.0 μB per cell
V: 21.7 A^3/atom

Geometry as extended XYZ:
```
12
Lattice="0.000 4.321 7.217 4.172 0.000 7.217 4.172 4.321 0.000" Properties=species:S:1:pos:R:3 pbc="T T T"
Ca 4.172 2.135 7.217
Ca 2.086 2.161 3.608
Ca 6.257 6.482 10.825
Ca 4.172 6.507 7.217
Si 4.172 4.321 2.331
Si 6.311 4.321 6.050
Si 6.311 4.321 8.384
Si 2.032 4.321 6.050
Si 2.032 4.321 8.384
Si 4.172 4.321 12.102
Ag 4.172 4.321 4.811
Ag 4.172 4.321 9.622
```


Record 4
Material: AgPbCl2
Method: DFT, PBE
State: relaxed

## Properties
electronic total energy: -3.01 eV per atom
uncorrected formation energy: -442.1 meV/atom
space-group type: C2/m (12)
size of the total moment: 0.0 μB per cell
V: 28.4 A^3/atom
energy above the lowest structure with this stoichiometry: 0.055 eV per atom

Geometry as extended XYZ:
```
4
Lattice="4.041 -4.043 0.000 4.041 4.043 0.000 -0.060 0.000 3.479" Properties=species:S:1:pos:R:3 pbc="T T T"
Ag 0.000 0.000 0.000
Pb 4.041 0.000 0.000
Cl 2.021 2.021 0.000
Cl 2.021 -2.021 0.000
```


Record 5
Material: Pm2Pr2Tl3
Method: DFT, PBE
State: relaxed

## Properties
electronic total energy: -4.00 eV per atom
DFT formation energy: -175.7 kJ/mol of formula units
space-group type: Cmmm (65)
size of the total moment: 0.0 μB per cell
V: 31.1 A^3/atom
energy above the lowest structure with this stoichiometry: 0.018 eV per atom

Geometry as extended XYZ:
```
7
Lattice="1.817 -16.550 0.000 1.817 16.550 0.000 0.000 0.000 3.619" Properties=species:S:1:pos:R:3 pbc="T T T"
Pm 1.817 9.883 0.000
Pm 1.817 -9.883 0.000
Pr 1.817 14.280 0.000
Pr 1.817 -14.280 0.000
Tl 1.817 4.556 1.810
Tl 1.817 0.000 1.810
Tl 1.817 -4.556 1.810
```


Record 6
Material: RbTlS2
Method: DFT, PBE
State: relaxed

## Properties
electronic total energy: -3.45 eV per atom
uncorrected formation energy: -552.8 meV/atom
space-group type: Pnma (62)
size of the total moment: 0.0 μB per cell
V: 32.6 A^3/atom
energy above the lowest structure with this stoichiometry: 0.084 eV per atom

Geometry as extended XYZ:
```
16
Lattice="8.040 0.000 0.000 0.000 4.198 0.000 0.000 0.000 15.459" Properties=species:S:1:pos:R:3 pbc="T T T"
Rb 0.672 1.050 2.301
Rb 3.348 3.149 10.031
Rb 4.692 1.050 5.428
Rb 7.368 3.149 13.157
Tl 0.340 3.149 6.130
Tl 3.680 1.050 13.859
Tl 4.360 3.149 1.600
Tl 7.700 1.050 9.329
S 1.073 1.050 11.279
S 1.557 1.050 7.179
S 2.463 3.149 14.909
S 2.947 3.149 3.549
S 5.093 1.050 11.909
S 5.577 1.050 0.550
S 6.483 3.149 8.280
S 6.967 3.149 4.180
```